[1]
Crystalline CaCuIr at its relaxed geometry. Source: Alexandria via LeMat-Bulk, functional GGA-PBE.

```
data_CaCuIr
_space_group_name_H-M_alt 'F -4 3 m'
_space_group_IT_number 216
_space_group_name_Hall 'F -4 2 3'
_cell_length_a 6.3470
_cell_length_b 6.3470
_cell_length_c 6.3470
_cell_angle_alpha 90.00
_cell_angle_beta 90.00
_cell_angle_gamma 90.00
loop_
_atom_site_label
_atom_site_type_symbol
_atom_site_fract_x
_atom_site_fract_y
_atom_site_fract_z
Ca1 Ca 0.0000 0.0000 0.0000
Cu1 Cu 0.2500 0.2500 0.7500
Ir1 Ir 0.2500 0.2500 0.2500
```

Output
**Offset from the most stable computed form**: 1.202 eV/atom
**Electronic total energy**: -4.12 eV per atom
**DOS(E_F)**: 15.0 states/eV/cell
**V**: 255.7 Å³/cell

=====

[2]
Crystalline Ca2CuIr at its relaxed geometry. Source: Alexandria via LeMat-Bulk, functional GGA-PBE.

```
data_Ca2CuIr
_space_group_name_H-M_alt 'F -4 3 m'
_space_group_IT_number 216
_space_group_name_Hall 'F -4 2 3'
_cell_length_a 6.8093
_cell_length_b 6.8093
_cell_length_c 6.8093
_cell_angle_alpha 90.00
_cell_angle_beta 90.00
_cell_angle_gamma 90.00
loop_
_atom_site_label
_atom_site_type_symbol
_atom_site_fract_x
_atom_site_fract_y
_atom_site_fract_z
Ca1 Ca 0.0000 0.0000 0.0000
Ca2 Ca 0.2500 0.2500 0.2500
Cu1 Cu 0.0000 0.0000 0.5000
Ir1 Ir 0.2500 0.2500 0.7500
```

Output
**Electronic total energy**: -4.22 eV per atom
**DOS(E_F)**: 5.5 states/eV/cell
**V**: 315.7 Å³/cell

=====

[3]
Crystalline CaCuIr at its relaxed geometry. Source: Alexandria via LeMat-Bulk, functional GGA-PBE.

```
data_CaCuIr
_space_group_name_H-M_alt 'I m m a'
_space_group_IT_number 74
_space_group_name_Hall '-I 2b 2'
_cell_length_a 5.2585
_cell_length_b 5.3135
_cell_length_c 7.5261
_cell_angle_alpha 90.00
_cell_angle_beta 90.00
_cell_angle_gamma 90.00
loop_
_atom_site_label
_atom_site_type_symbol
_atom_site_fract_x
_atom_site_fract_y
_atom_site_fract_z
Ca1 Ca 0.0000 0.2500 0.1302
Cu1 Cu 0.2500 0.2500 0.7500
Ir1 Ir 0.0000 0.0000 0.5000
```

Output
**Offset from the most stable computed form**: 0.000 eV/atom
**Electronic total energy**: -5.32 eV per atom
**DOS(E_F)**: 10.2 states/eV/cell
**V**: 210.3 Å³/cell

=====

Which formula does entry 2 have? Ca2CuIr

=====

What is the DOS(E_F) in the third record? 10.2 states/eV/cell

=====

What is the electronic total energy in the third record? -5.32 eV per atom

=====

Which of these has the highest DOS(E_F)? number 1